Below is a relaxed NaSnTe3Au crystal, with properties calculated at the PBE-GGA level.

Cell lengths 7.1032, 7.1032, 11.9983 Å; angles 90.00, 90.00, 144.65 degrees
Sites, in units of the cell vectors:
1 Na 0.2438 0.7562 0.7500
2 Na 0.7562 0.2438 0.2500
3 Sn 0.5000 0.5000 0.0000
4 Sn 0.5000 0.5000 0.5000
5 Te 0.1568 0.8432 0.0354
6 Te 0.1568 0.8432 0.4646
7 Te 0.4482 0.5518 0.2500
8 Te 0.5518 0.4482 0.7500
9 Te 0.8432 0.1568 0.5354
10 Te 0.8432 0.1568 0.9646
11 Au 0.0863 0.9137 0.2500
12 Au 0.9137 0.0863 0.7500

Computed properties:
final energy: -0.12099 hartree per atom


Below is a relaxed NaSnTe3Au crystal, with properties calculated at the PBE-GGA level.

Cell lengths 14.4735, 4.4369, 11.2077 Å; angles 90.00, 90.00, 90.00 degrees
Sites, in units of the cell vectors:
1 Na 0.1785 0.2500 0.0231
2 Na 0.3215 0.7500 0.5231
3 Na 0.6785 0.2500 0.4769
4 Na 0.8215 0.7500 0.9769
5 Sn 0.0222 0.7500 0.6650
6 Sn 0.4778 0.2500 0.1650
7 Sn 0.5222 0.7500 0.8350
8 Sn 0.9778 0.2500 0.3350
9 Te 0.0404 0.7500 0.1669
10 Te 0.1239 0.2500 0.5170
11 Te 0.1920 0.7500 0.8061
12 Te 0.3080 0.2500 0.3061
13 Te 0.3761 0.7500 0.0170
14 Te 0.4596 0.2500 0.6669
15 Te 0.5404 0.7500 0.3331
16 Te 0.6239 0.2500 0.9830
17 Te 0.6920 0.7500 0.6939
18 Te 0.8080 0.2500 0.1939
19 Te 0.8761 0.7500 0.4830
20 Te 0.9596 0.2500 0.8331
21 Au 0.2206 0.7500 0.2204
22 Au 0.2794 0.2500 0.7204
23 Au 0.7206 0.7500 0.2796
24 Au 0.7794 0.2500 0.7796

Computed properties:
final energy: -0.12202 hartree per atom


Below is a relaxed NaSnTe3Au crystal, with properties calculated at the PBE-GGA level.

Cell lengths 8.3171, 4.2845, 10.1422 Å; angles 90.00, 101.16, 90.00 degrees
Sites, in units of the cell vectors:
1 Na 0.2067 0.2500 0.3059
2 Na 0.7933 0.7500 0.6941
3 Sn 0.3176 0.7500 0.8681
4 Sn 0.6824 0.2500 0.1319
5 Te 0.0644 0.2500 0.8690
6 Te 0.2738 0.7500 0.5669
7 Te 0.4259 0.7500 0.1614
8 Te 0.5741 0.2500 0.8386
9 Te 0.7262 0.2500 0.4331
10 Te 0.9356 0.7500 0.1310
11 Au 0.0408 0.2500 0.5944
12 Au 0.9592 0.7500 0.4056

Computed properties:
final energy: -0.12134 hartree per atom


Below is a relaxed Na4ZnSnAu2 crystal, with properties calculated at the PBE-GGA level.

Cell lengths 4.9206, 4.9206, 6.9568 Å; angles 90.00, 90.00, 90.00 degrees
Sites, in units of the cell vectors:
1 Na 0.0000 0.0000 0.0000
2 Na 0.0000 0.5000 0.7292
3 Na 0.5000 0.0000 0.2708
4 Na 0.5000 0.5000 0.5000
5 Zn 0.0000 0.0000 0.5000
6 Sn 0.5000 0.5000 0.0000
7 Au 0.0000 0.5000 0.2554
8 Au 0.5000 0.0000 0.7446

Computed properties:
final energy: -0.08624 hartree per atom